1.
Here is a geometry-optimized TlSb3S6 structure from Alexandria via LeMat-Bulk. Energies are from GGA-PBE.

Structure (CIF):
```
data_TlSb3S6
_cell_length_a 11.652
_cell_length_b 3.828
_cell_length_c 12.366
_cell_angle_alpha 90.00
_cell_angle_beta 106.23
_cell_angle_gamma 90.00
_symmetry_space_group_name_H-M 'P 1 21/m 1'
_symmetry_Int_Tables_number 11
loop_
_symmetry_equiv_pos_as_xyz
'x,y,z'
'-x,-y,-z'
'-x,y+1/2,-z'
'x,-y+1/2,z'
loop_
_atom_site_label
_atom_site_type_symbol
_atom_site_fract_x
_atom_site_fract_y
_atom_site_fract_z
_atom_site_occupancy
Tl1 Tl 0.116 0.250 0.362 1
Sb1 Sb 0.149 0.250 0.012 1
Sb2 Sb 0.266 0.750 0.709 1
Sb3 Sb 0.468 0.750 0.354 1
S1 S 0.055 0.750 0.128 1
S2 S 0.117 0.250 0.628 1
S3 S 0.240 0.750 0.911 1
S4 S 0.331 0.250 0.251 1
S5 S 0.354 0.750 0.539 1
S6 S 0.428 0.250 0.799 1
```

Theoretical density   4.78 g/cm³
Uncorrected formation energy   -18 kJ/mol of atoms
E   -4.13 eV/atom
Magnetic moment   0.0 μB per formula unit

---

2.
Here is a geometry-optimized Tl3SbS structure from Alexandria via LeMat-Bulk. Energies are from GGA-PBE.

Structure (CIF):
```
data_Tl3SbS
_cell_length_a 4.125
_cell_length_b 8.085
_cell_length_c 9.950
_cell_angle_alpha 89.60
_cell_angle_beta 89.96
_cell_angle_gamma 89.99
_symmetry_space_group_name_H-M 'P -1'
_symmetry_Int_Tables_number 2
loop_
_symmetry_equiv_pos_as_xyz
'x,y,z'
'-x,-y,-z'
loop_
_atom_site_label
_atom_site_type_symbol
_atom_site_fract_x
_atom_site_fract_y
_atom_site_fract_z
_atom_site_occupancy
Tl1 Tl 0.249 0.450 0.337 1
Tl2 Tl 0.250 0.151 0.621 1
Tl3 Tl 0.250 0.859 0.902 1
Sb1 Sb 0.250 0.427 0.916 1
S1 S 0.250 0.102 0.319 1
```

Theoretical density   7.68 g/cm³
Uncorrected formation energy   -16 kJ/mol of atoms
Excess energy over the best structure of this formula in the dataset   0 kJ/mol of formula units
E   -3.23 eV/atom
Magnetic moment   0.0 μB per formula unit

---

3.
Here is a geometry-optimized Tl5Sb2S5 structure from Alexandria via LeMat-Bulk. Energies are from GGA-PBE.

Structure (CIF):
```
data_Tl5Sb2S5
_cell_length_a 13.502
_cell_length_b 4.355
_cell_length_c 12.623
_cell_angle_alpha 90.00
_cell_angle_beta 90.71
_cell_angle_gamma 90.00
_symmetry_space_group_name_H-M 'C 1 2/m 1'
_symmetry_Int_Tables_number 12
loop_
_symmetry_equiv_pos_as_xyz
'x,y,z'
'-x,-y,-z'
'-x,y,-z'
'x,-y,z'
'x+1/2,y+1/2,z'
'-x+1/2,-y+1/2,-z'
'-x+1/2,y+1/2,-z'
'x+1/2,-y+1/2,z'
loop_
_atom_site_label
_atom_site_type_symbol
_atom_site_fract_x
_atom_site_fract_y
_atom_site_fract_z
_atom_site_occupancy
Tl1 Tl 0.000 0.000 0.000 1
Tl2 Tl 0.141 0.000 0.547 1
Tl3 Tl 0.205 0.500 0.857 1
Sb1 Sb 0.084 0.500 0.285 1
S1 S 0.000 0.500 0.500 1
S2 S 0.017 0.000 0.744 1
S3 S 0.151 0.500 0.094 1
```

Theoretical density   6.38 g/cm³
Uncorrected formation energy   -24 kJ/mol of atoms
E   -3.64 eV/atom
Magnetic moment   0.0 μB per formula unit

---

4.
Here is a geometry-optimized TlSb4S8 structure from Alexandria via LeMat-Bulk. Energies are from GGA-PBE.

Structure (CIF):
```
data_TlSb4S8
_cell_length_a 11.344
_cell_length_b 11.344
_cell_length_c 11.344
_cell_angle_alpha 90.00
_cell_angle_beta 90.00
_cell_angle_gamma 90.00
_symmetry_space_group_name_H-M 'F -4 3 m'
_symmetry_Int_Tables_number 216
_symmetry_space_group_name_Hall 'F -4 2 3'
loop_
_atom_site_label
_atom_site_type_symbol
_atom_site_fract_x
_atom_site_fract_y
_atom_site_fract_z
_atom_site_occupancy
Tl1 Tl 0.000 0.000 0.000 1
Sb1 Sb 0.117 0.117 0.617 1
S1 S 0.117 0.117 0.383 1
S2 S 0.131 0.131 0.869 1
```

Theoretical density   4.31 g/cm³
Uncorrected formation energy   -14 kJ/mol of atoms
E   -4.14 eV/atom
Magnetic moment   0.0 μB per formula unit

---

5.
Here is a geometry-optimized Tl5SbS6 structure from Alexandria via LeMat-Bulk. Energies are from GGA-PBE.

Structure (CIF):
```
data_Tl5SbS6
_cell_length_a 7.002
_cell_length_b 12.124
_cell_length_c 7.717
_cell_angle_alpha 90.00
_cell_angle_beta 107.75
_cell_angle_gamma 90.00
_symmetry_space_group_name_H-M 'C 1 2/m 1'
_symmetry_Int_Tables_number 12
loop_
_symmetry_equiv_pos_as_xyz
'x,y,z'
'-x,-y,-z'
'-x,y,-z'
'x,-y,z'
'x+1/2,y+1/2,z'
'-x+1/2,-y+1/2,-z'
'-x+1/2,y+1/2,-z'
'x+1/2,-y+1/2,z'
loop_
_atom_site_label
_atom_site_type_symbol
_atom_site_fract_x
_atom_site_fract_y
_atom_site_fract_z
_atom_site_occupancy
Tl1 Tl 0.000 0.000 0.000 1
Tl2 Tl 0.000 0.167 0.500 1
Tl3 Tl 0.000 0.334 0.000 1
Sb1 Sb 0.000 0.500 0.500 1
S1 S 0.236 0.000 0.707 1
S2 S 0.236 0.333 0.708 1
```

Theoretical density   7.11 g/cm³
Uncorrected formation energy   -22 kJ/mol of atoms
E   -3.62 eV/atom
Magnetic moment   0.0 μB per formula unit

---

6.
Here is a geometry-optimized Tl3SbS3 structure from Alexandria via LeMat-Bulk. Energies are from GGA-PBE.

Structure (CIF):
```
data_Tl3SbS3
_cell_length_a 9.017
_cell_length_b 12.792
_cell_length_c 8.245
_cell_angle_alpha 90.00
_cell_angle_beta 103.90
_cell_angle_gamma 90.00
_symmetry_space_group_name_H-M 'C 1 2/m 1'
_symmetry_Int_Tables_number 12
loop_
_symmetry_equiv_pos_as_xyz
'x,y,z'
'-x,-y,-z'
'-x,y,-z'
'x,-y,z'
'x+1/2,y+1/2,z'
'-x+1/2,-y+1/2,-z'
'-x+1/2,y+1/2,-z'
'x+1/2,-y+1/2,z'
loop_
_atom_site_label
_atom_site_type_symbol
_atom_site_fract_x
_atom_site_fract_y
_atom_site_fract_z
_atom_site_occupancy
Tl1 Tl 0.000 0.172 0.000 1
Tl2 Tl 0.000 0.197 0.500 1
Tl3 Tl 0.165 0.500 0.155 1
Sb1 Sb 0.185 0.500 0.641 1
S1 S 0.032 0.000 0.270 1
S2 S 0.121 0.357 0.808 1
```

Theoretical density   5.98 g/cm³
Uncorrected formation energy   -29 kJ/mol of atoms
E   -3.67 eV/atom
Magnetic moment   0.0 μB per formula unit

---

7.
Here is a geometry-optimized Tl4Sb2S5 structure from Alexandria via LeMat-Bulk. Energies are from GGA-PBE.

Structure (CIF):
```
data_Tl4Sb2S5
_cell_length_a 10.490
_cell_length_b 7.559
_cell_length_c 9.028
_cell_angle_alpha 90.00
_cell_angle_beta 108.46
_cell_angle_gamma 90.00
_symmetry_space_group_name_H-M 'C 1 m 1'
_symmetry_Int_Tables_number 8
loop_
_symmetry_equiv_pos_as_xyz
'x,y,z'
'x,-y,z'
'x+1/2,y+1/2,z'
'x+1/2,-y+1/2,z'
loop_
_atom_site_label
_atom_site_type_symbol
_atom_site_fract_x
_atom_site_fract_y
_atom_site_fract_z
_atom_site_occupancy
Tl1 Tl 0.000 0.000 0.000 1
Tl2 Tl 0.015 0.000 0.557 1
Tl3 Tl 0.240 0.500 0.165 1
Tl4 Tl 0.407 0.000 0.871 1
Sb1 Sb 0.166 0.500 0.647 1
Sb2 Sb 0.403 0.000 0.258 1
S1 S 0.058 0.254 0.280 1
S2 S 0.180 0.255 0.829 1
S3 S 0.413 0.000 0.539 1
```

Theoretical density   5.97 g/cm³
Uncorrected formation energy   -30 kJ/mol of atoms
E   -3.79 eV/atom
Magnetic moment   0.0 μB per formula unit

---

8.
Here is a geometry-optimized Tl2SbS3 structure from Alexandria via LeMat-Bulk. Energies are from GGA-PBE.

Structure (CIF):
```
data_Tl2SbS3
_cell_length_a 4.734
_cell_length_b 17.335
_cell_length_c 4.228
_cell_angle_alpha 90.00
_cell_angle_beta 90.00
_cell_angle_gamma 90.00
_symmetry_space_group_name_H-M 'I m m 2'
_symmetry_Int_Tables_number 44
loop_
_symmetry_equiv_pos_as_xyz
'x,y,z'
'-x,-y,z'
'-x,y,z'
'x,-y,z'
'x+1/2,y+1/2,z+1/2'
'-x+1/2,-y+1/2,z+1/2'
'-x+1/2,y+1/2,z+1/2'
'x+1/2,-y+1/2,z+1/2'
loop_
_atom_site_label
_atom_site_type_symbol
_atom_site_fract_x
_atom_site_fract_y
_atom_site_fract_z
_atom_site_occupancy
Tl1 Tl 0.000 0.171 0.000 1
Sb1 Sb 0.000 0.500 0.297 1
S1 S 0.000 0.000 0.030 1
S2 S 0.000 0.379 0.010 1
```

Theoretical density   6.00 g/cm³
Uncorrected formation energy   -22 kJ/mol of atoms
Excess energy over the best structure of this formula in the dataset   2 kJ/mol of formula units
E   -3.77 eV/atom
Magnetic moment   0.0 μB per formula unit

---

9.
Here is a geometry-optimized Tl3Sb2S4 structure from Alexandria via LeMat-Bulk. Energies are from GGA-PBE.

Structure (CIF):
```
data_Tl3Sb2S4
_cell_length_a 15.060
_cell_length_b 9.502
_cell_length_c 8.754
_cell_angle_alpha 90.00
_cell_angle_beta 96.48
_cell_angle_gamma 90.00
_symmetry_space_group_name_H-M 'C 1 2/c 1'
_symmetry_Int_Tables_number 15
loop_
_symmetry_equiv_pos_as_xyz
'x,y,z'
'-x,-y,-z'
'-x,y,-z+1/2'
'x,-y,z+1/2'
'x+1/2,y+1/2,z'
'-x+1/2,-y+1/2,-z'
'-x+1/2,y+1/2,-z+1/2'
'x+1/2,-y+1/2,z+1/2'
loop_
_atom_site_label
_atom_site_type_symbol
_atom_site_fract_x
_atom_site_fract_y
_atom_site_fract_z
_atom_site_occupancy
Tl1 Tl 0.000 0.040 0.250 1
Tl2 Tl 0.127 0.412 0.340 1
Sb1 Sb 0.180 0.144 0.031 1
S1 S 0.045 0.283 0.025 1
S2 S 0.219 0.125 0.305 1
```

Theoretical density   5.26 g/cm³
Uncorrected formation energy   -18 kJ/mol of atoms
Excess energy over the best structure of this formula in the dataset   23 kJ/mol of formula units
E   -3.73 eV/atom
Magnetic moment   0.0 μB per formula unit

---

10.
Here is a geometry-optimized Tl2SbS2 structure from Alexandria via LeMat-Bulk. Energies are from GGA-PBE.

Structure (CIF):
```
data_Tl2SbS2
_cell_length_a 7.563
_cell_length_b 7.563
_cell_length_c 4.834
_cell_angle_alpha 90.00
_cell_angle_beta 90.00
_cell_angle_gamma 90.00
_symmetry_space_group_name_H-M 'P 4/m b m'
_symmetry_Int_Tables_number 127
_symmetry_space_group_name_Hall '-P 4 2ab'
loop_
_atom_site_label
_atom_site_type_symbol
_atom_site_fract_x
_atom_site_fract_y
_atom_site_fract_z
_atom_site_occupancy
Tl1 Tl 0.150 0.350 0.000 1
Sb1 Sb 0.000 0.000 0.500 1
S1 S 0.182 0.682 0.500 1
```

Theoretical density   7.14 g/cm³
Uncorrected formation energy   -10 kJ/mol of atoms
E   -3.52 eV/atom
Magnetic moment   0.0 μB per formula unit

---

11.
Here is a geometry-optimized TlSb2S structure from Alexandria via LeMat-Bulk. Energies are from GGA-PBE.

Structure (CIF):
```
data_TlSb2S
_cell_length_a 7.354
_cell_length_b 7.354
_cell_length_c 7.354
_cell_angle_alpha 90.00
_cell_angle_beta 90.00
_cell_angle_gamma 90.00
_symmetry_space_group_name_H-M 'F m -3 m'
_symmetry_Int_Tables_number 225
_symmetry_space_group_name_Hall '-F 4 2 3'
loop_
_atom_site_label
_atom_site_type_symbol
_atom_site_fract_x
_atom_site_fract_y
_atom_site_fract_z
_atom_site_occupancy
Tl1 Tl 0.000 0.000 0.000 1
Sb1 Sb 0.250 0.250 0.250 1
S1 S 0.000 0.000 0.500 1
```

Theoretical density   8.02 g/cm³
Uncorrected formation energy   32 kJ/mol of atoms
Excess energy over the best structure of this formula in the dataset   94 kJ/mol of formula units
E   -3.36 eV/atom
Magnetic moment   0.0 μB per formula unit

---

12.
Here is a geometry-optimized TlSb2S5 structure from Alexandria via LeMat-Bulk. Energies are from GGA-PBE.

Structure (CIF):
```
data_TlSb2S5
_cell_length_a 5.514
_cell_length_b 16.720
_cell_length_c 12.032
_cell_angle_alpha 90.00
_cell_angle_beta 90.00
_cell_angle_gamma 90.00
_symmetry_space_group_name_H-M 'C m c m'
_symmetry_Int_Tables_number 63
_symmetry_space_group_name_Hall '-C 2c 2'
loop_
_atom_site_label
_atom_site_type_symbol
_atom_site_fract_x
_atom_site_fract_y
_atom_site_fract_z
_atom_site_occupancy
Tl1 Tl 0.000 0.163 0.250 1
Sb1 Sb 0.000 0.181 0.568 1
S1 S 0.000 0.009 0.081 1
S2 S 0.000 0.257 0.750 1
S3 S 0.000 0.311 0.037 1
```

Theoretical density   3.64 g/cm³
Uncorrected formation energy   -9 kJ/mol of atoms
E   -4.00 eV/atom
Magnetic moment   1.0 μB per formula unit